VASP calculation (PBEsol) on crystalline Sc2BeAl at its relaxed geometry.

Computed properties:
Energy relative to the elements   -0.083 eV/atom

a b c (Å): 4.0547 4.0547 15.7773
angles (deg): 90.00 90.00 120.00
Space group R3m (No. 160, hexagonal axes)
One atom of each set of equivalent atoms:
Sc 0.0000 0.0000 0.0000 (multiplicity 3)
Sc 0.0000 0.0000 0.2029 (multiplicity 3)
Be 0.0000 0.0000 0.7875 (multiplicity 3)
Al 0.0000 0.0000 0.4288 (multiplicity 3)

---

VASP calculation (PBEsol) on crystalline Sc2BeAl at its relaxed geometry.

Computed properties:
Energy relative to the elements   -0.234 eV/atom

a b c (Å): 4.598 4.598 3.284
angles (deg): 90.00 90.00 90.00
Space group P4/mmm (No. 123)
One atom of each set of equivalent atoms:
Sc 0.000 0.500 0.000 (multiplicity 2)
Be 0.000 0.000 0.500 (multiplicity 1)
Al 0.500 0.500 0.500 (multiplicity 1)

---

VASP calculation (PBEsol) on crystalline Sc2BeAl at its relaxed geometry.

Computed properties:
Energy relative to the elements   -0.086 eV/atom

a b c (Å): 2.989 2.989 7.744
angles (deg): 90.00 90.00 90.00
Space group P4mm (No. 99)
One atom of each set of equivalent atoms:
Sc 0.000 0.000 0.000 (multiplicity 1)
Sc 0.500 0.500 0.323 (multiplicity 1)
Be 0.500 0.500 0.770 (multiplicity 1)
Al 0.000 0.000 0.595 (multiplicity 1)

---

VASP calculation (PBEsol) on crystalline Be2Al2Se at its relaxed geometry.

Computed properties:
Raw formation energy   1.2 eV/f.u.

a b c (Å): 6.301 6.301 3.603
angles (deg): 90.00 90.00 90.00
Space group P4/mbm (No. 127)
One atom of each set of equivalent atoms:
Be 0.120 0.380 0.000 (multiplicity 4)
Al 0.160 0.660 0.500 (multiplicity 4)
Se 0.000 0.000 0.000 (multiplicity 2)

---

VASP calculation (PBEsol) on crystalline Be2AlSe at its relaxed geometry.

Computed properties:
Raw formation energy   1.6 eV/f.u.

a b c (Å): 4.959 7.012 3.193
angles (deg): 90.00 90.00 90.00
Space group Cmmm (No. 65)
One atom of each set of equivalent atoms:
Be 0.250 0.250 0.000 (multiplicity 4)
Al 0.000 0.000 0.500 (multiplicity 2)
Se 0.000 0.500 0.500 (multiplicity 2)

---

VASP calculation (PBEsol) on crystalline Be2AlSe at its relaxed geometry.

Computed properties:
Raw formation energy   1.5 eV/f.u.

a b c (Å): 2.691 2.691 7.708
angles (deg): 90.00 90.00 90.00
Space group P4mm (No. 99)
One atom of each set of equivalent atoms:
Be 0.000 0.000 0.000 (multiplicity 1)
Be 0.500 0.500 0.150 (multiplicity 1)
Al 0.500 0.500 0.779 (multiplicity 1)
Se 0.000 0.000 0.454 (multiplicity 1)

---

VASP calculation (PBEsol) on crystalline Be2AlSe at its relaxed geometry.

Computed properties:
Raw formation energy   0.9 eV/f.u.

a b c (Å): 3.242 3.242 5.449
angles (deg): 90.00 90.00 90.00
Space group P4mm (No. 99)
One atom of each set of equivalent atoms:
Be 0.000 0.000 0.000 (multiplicity 1)
Be 0.500 0.500 0.308 (multiplicity 1)
Al 0.500 0.500 0.809 (multiplicity 1)
Se 0.000 0.000 0.398 (multiplicity 1)

---

VASP calculation (PBEsol) on crystalline Be2AlSi at its relaxed geometry.

Computed properties:
Raw formation energy   1.4 eV/f.u.

a b c (Å): 3.814 3.814 14.891
angles (deg): 90.00 90.00 90.00
Space group I-42d (No. 122)
One atom of each set of equivalent atoms:
Be 0.210 0.250 0.125 (multiplicity 8)
Al 0.000 0.000 0.500 (multiplicity 4)
Si 0.000 0.000 0.000 (multiplicity 4)

---

VASP calculation (PBEsol) on crystalline BeAl2Si at its relaxed geometry.

Computed properties:
Raw formation energy   0.8 eV/f.u.

a b c (Å): 2.677 3.722 5.445
angles (deg): 90.00 90.00 90.00
Space group Pmmm (No. 47)
One atom of each set of equivalent atoms:
Be 0.000 0.000 0.000 (multiplicity 1)
Al 0.500 0.500 0.239 (multiplicity 2)
Si 0.000 0.000 0.500 (multiplicity 1)

---

VASP calculation (PBEsol) on crystalline BeAl2Si at its relaxed geometry.

Computed properties:
Raw formation energy   0.9 eV/f.u.

a b c (Å): 2.7871 2.7871 24.5395
angles (deg): 90.00 90.00 120.00
Space group R-3m (No. 166, hexagonal axes)
One atom of each set of equivalent atoms:
Be 0.0000 0.0000 0.0000 (multiplicity 3)
Al 0.0000 0.0000 0.2552 (multiplicity 6)
Si 0.0000 0.0000 0.5000 (multiplicity 3)

---

VASP calculation (PBEsol) on crystalline BeAl2Si at its relaxed geometry.

Computed properties:
Raw formation energy   0.8 eV/f.u.

a b c (Å): 2.689 3.458 5.971
angles (deg): 90.00 90.00 90.00
Space group Pmm2 (No. 25)
One atom of each set of equivalent atoms:
Be 0.000 0.000 0.000 (multiplicity 1)
Al 0.000 0.000 0.454 (multiplicity 1)
Al 0.500 0.500 0.749 (multiplicity 1)
Si 0.500 0.500 0.182 (multiplicity 1)

---

VASP calculation (PBEsol) on crystalline BeAlSn3 at its relaxed geometry.

Computed properties:
Energy relative to the elements   0.448 eV/atom

a b c (Å): 4.860 4.860 4.860
angles (deg): 90.00 90.00 90.00
Space group Pm-3m (No. 221)
One atom of each set of equivalent atoms:
Be 0.000 0.000 0.000 (multiplicity 1)
Al 0.500 0.500 0.500 (multiplicity 1)
Sn 0.000 0.000 0.500 (multiplicity 3)

---

| no. | calculated total energy (eV/f.u.) |
| --- | --- |
| 1 | -21.63 |
| 2 | -22.24 |
| 3 | -21.65 |
| 4 | -18.81 |
| 5 | -14.39 |
| 6 | -14.46 |
| 7 | -15.02 |
| 8 | -16.44 |
| 9 | -17.14 |
| 10 | -17.03 |
| 11 | -17.15 |
| 12 | -18.63 |